# 1
Material: CdOs2Pt
Method: DFT, PBE-GGA
State: optimized geometry

Results
energy relative to the elements: 406 meV per atom
M_tot: 0.000 μB per atom
DFT total energy: -27.79 eV/cell
density of states at the Fermi level: 3.18 states/eV/cell

```
CdOs2Pt
1.0
4.8410 0.0000 0.0000
0.0000 2.7638 0.0000
-1.6601 0.0000 4.7018
Cd Os Pt
1 2 1
Direct
0.0000 0.0000 0.0000 Cd
0.0000 0.5000 0.5000 Os
0.5000 0.0000 0.5000 Os
0.5000 0.5000 0.0000 Pt
```

# 2
Material: CdOsPt2
Method: DFT, PBE-GGA
State: optimized geometry

Results
energy relative to the elements: 203 meV per atom
M_tot: 0.001 μB per atom
DFT total energy: -23.42 eV/cell
density of states at the Fermi level: 4.94 states/eV/cell

```
CdOsPt2
1.0
-1.3822 2.4046 4.9985
1.3822 -2.4046 4.9985
1.3822 2.4046 -4.9985
Cd Os Pt
1 1 2
Direct
0.0000 0.0000 0.0000 Cd
0.7373 0.2373 0.5000 Os
0.2675 0.7675 0.5000 Pt
0.5139 0.5139 0.0000 Pt
```

# 3
Material: CdOsPt
Method: DFT, PBE-GGA
State: optimized geometry

Results
energy relative to the elements: 709 meV per atom
M_tot: 0.665 μB per atom
DFT total energy: -16.06 eV/cell
density of states at the Fermi level: 2.74 states/eV/cell

```
CdOsPt
1.0
0.0000 3.0891 3.0891
3.0891 0.0000 3.0891
3.0891 3.0891 0.0000
Cd Os Pt
1 1 1
Direct
0.0000 0.0000 0.0000 Cd
0.5000 0.5000 0.5000 Os
0.7500 0.7500 0.7500 Pt
```

# 4
Material: CdOs2Pt
Method: DFT, PBE-GGA
State: optimized geometry

Results
energy relative to the elements: 538 meV per atom
M_tot: 0.001 μB per atom
DFT total energy: -27.26 eV/cell
density of states at the Fermi level: 6.36 states/eV/cell

```
CdOs2Pt
1.0
2.7713 0.0000 0.0000
0.0000 2.7713 0.0000
0.0000 0.0000 8.3144
Cd Os Pt
1 2 1
Direct
0.0000 0.0000 0.0000 Cd
0.5000 0.5000 0.2681 Os
0.5000 0.5000 0.7319 Os
0.0000 0.0000 0.5000 Pt
```

Which of these has the lowest energy relative to the elements?
CdOsPt2

Which of these has the highest DFT total energy?
CdOsPt

Look up the density of states at the Fermi level of the fourth one.
6.36 states/eV/cell

What is the energy relative to the elements in the fourth record?
538 meV per atom